Sr2LiH6Os | PBE-GGA | optimized geometry

Calculated values
Total magnetization (μB/f.u.): 0.00
Energy (eV/atom): -4.11

The structure in CIF format:
```
data_Sr2LiH6Os
_chemical_formula_sum 'Sr2 Li1 H6 Os1'
_cell_length_a 5.413
_cell_length_b 5.413
_cell_length_c 5.413
_cell_angle_alpha 60.00
_cell_angle_beta 60.00
_cell_angle_gamma 60.00
_symmetry_space_group_name_H-M 'P 1'
_symmetry_Int_Tables_number 1
loop_
_symmetry_equiv_pos_as_xyz
'x,y,z'
loop_
_atom_site_label
_atom_site_fract_x
_atom_site_fract_y
_atom_site_fract_z
_atom_site_occupancy
H1 0.769 0.231 0.231 1
H2 0.231 0.769 0.231 1
H3 0.769 0.769 0.231 1
H4 0.231 0.231 0.769 1
H5 0.769 0.231 0.769 1
H6 0.231 0.769 0.769 1
Li1 0.500 0.500 0.500 1
Os1 0.000 0.000 0.000 1
Sr1 0.250 0.250 0.250 1
Sr2 0.750 0.750 0.750 1
```

Li2ZnH6Os | PBE-GGA | optimized geometry

Calculated values
Total magnetization (μB/f.u.): 0.00
Energy (eV/atom): -3.75

The structure in CIF format:
```
data_Li2ZnH6Os
_chemical_formula_sum 'Li2 Zn1 H6 Os1'
_cell_length_a 4.850
_cell_length_b 4.850
_cell_length_c 4.850
_cell_angle_alpha 60.00
_cell_angle_beta 60.00
_cell_angle_gamma 60.00
_symmetry_space_group_name_H-M 'P 1'
_symmetry_Int_Tables_number 1
loop_
_symmetry_equiv_pos_as_xyz
'x,y,z'
loop_
_atom_site_label
_atom_site_fract_x
_atom_site_fract_y
_atom_site_fract_z
_atom_site_occupancy
H1 0.753 0.247 0.247 1
H2 0.247 0.753 0.247 1
H3 0.753 0.753 0.247 1
H4 0.247 0.247 0.753 1
H5 0.753 0.247 0.753 1
H6 0.247 0.753 0.753 1
Li1 0.250 0.250 0.250 1
Li2 0.750 0.750 0.750 1
Os1 0.000 0.000 0.000 1
Zn1 0.500 0.500 0.500 1
```

Li3HPd2 | PBE-GGA | optimized geometry

Calculated values
Energy (eV/atom): -3.64

The structure in CIF format:
```
data_Li3HPd2
_chemical_formula_sum 'Li3 H1 Pd2'
_cell_length_a 2.702
_cell_length_b 2.702
_cell_length_c 10.783
_cell_angle_alpha 90.00
_cell_angle_beta 90.00
_cell_angle_gamma 120.00
_symmetry_space_group_name_H-M 'P 1'
_symmetry_Int_Tables_number 1
loop_
_symmetry_equiv_pos_as_xyz
'x,y,z'
loop_
_atom_site_label
_atom_site_fract_x
_atom_site_fract_y
_atom_site_fract_z
_atom_site_occupancy
H1 0.000 0.000 0.500 1
Li1 0.000 0.000 0.000 1
Li2 0.667 0.333 0.393 1
Li3 0.333 0.667 0.607 1
Pd1 0.333 0.667 0.196 1
Pd2 0.667 0.333 0.804 1
```

LiHPd | PBE-GGA | optimized geometry

Calculated values
Energy (eV/atom): -3.64

The structure in CIF format:
```
data_LiHPd
_chemical_formula_sum 'Li1 H1 Pd1'
_cell_length_a 2.743
_cell_length_b 2.743
_cell_length_c 4.758
_cell_angle_alpha 90.00
_cell_angle_beta 90.00
_cell_angle_gamma 90.00
_symmetry_space_group_name_H-M 'P 1'
_symmetry_Int_Tables_number 1
loop_
_symmetry_equiv_pos_as_xyz
'x,y,z'
loop_
_atom_site_label
_atom_site_fract_x
_atom_site_fract_y
_atom_site_fract_z
_atom_site_occupancy
H1 0.000 0.000 0.000 1
Li1 0.500 0.500 0.500 1
Pd1 0.500 0.500 0.000 1
```

Li3H6Pd | PBE-GGA | optimized geometry

Calculated values
Energy (eV/atom): -3.30

The structure in CIF format:
```
data_Li3H6Pd
_chemical_formula_sum 'Li3 H6 Pd1'
_cell_length_a 4.829
_cell_length_b 4.829
_cell_length_c 4.829
_cell_angle_alpha 60.00
_cell_angle_beta 60.00
_cell_angle_gamma 60.00
_symmetry_space_group_name_H-M 'P 1'
_symmetry_Int_Tables_number 1
loop_
_symmetry_equiv_pos_as_xyz
'x,y,z'
loop_
_atom_site_label
_atom_site_fract_x
_atom_site_fract_y
_atom_site_fract_z
_atom_site_occupancy
H1 0.755 0.755 0.245 1
H2 0.755 0.245 0.245 1
H3 0.245 0.755 0.245 1
H4 0.755 0.245 0.755 1
H5 0.245 0.245 0.755 1
H6 0.245 0.755 0.755 1
Li1 0.250 0.250 0.250 1
Li2 0.500 0.500 0.500 1
Li3 0.750 0.750 0.750 1
Pd1 0.000 0.000 0.000 1
```

LiHPd3 | PBE-GGA | optimized geometry

Calculated values
Energy (eV/atom): -4.46

The structure in CIF format:
```
data_LiHPd3
_chemical_formula_sum 'Li1 H1 Pd3'
_cell_length_a 4.836
_cell_length_b 2.806
_cell_length_c 4.843
_cell_angle_alpha 90.00
_cell_angle_beta 110.05
_cell_angle_gamma 90.00
_symmetry_space_group_name_H-M 'P 1'
_symmetry_Int_Tables_number 1
loop_
_symmetry_equiv_pos_as_xyz
'x,y,z'
loop_
_atom_site_label
_atom_site_fract_x
_atom_site_fract_y
_atom_site_fract_z
_atom_site_occupancy
H1 0.316 0.500 0.234 1
Li1 0.036 0.500 0.508 1
Pd1 0.039 0.000 0.002 1
Pd2 0.542 0.000 0.505 1
Pd3 0.547 0.500 0.997 1
```

LiHPd3 | PBE-GGA | optimized geometry

Calculated values
Energy (eV/atom): -4.45

The structure in CIF format:
```
data_LiHPd3
_chemical_formula_sum 'Li1 H1 Pd3'
_cell_length_a 3.963
_cell_length_b 3.963
_cell_length_c 3.963
_cell_angle_alpha 90.00
_cell_angle_beta 90.00
_cell_angle_gamma 90.00
_symmetry_space_group_name_H-M 'P 1'
_symmetry_Int_Tables_number 1
loop_
_symmetry_equiv_pos_as_xyz
'x,y,z'
loop_
_atom_site_label
_atom_site_fract_x
_atom_site_fract_y
_atom_site_fract_z
_atom_site_occupancy
H1 0.000 0.000 0.000 1
Li1 0.500 0.500 0.500 1
Pd1 0.500 0.000 0.000 1
Pd2 0.000 0.500 0.000 1
Pd3 0.000 0.000 0.500 1
```

Li2H6PdPt | PBE-GGA | optimized geometry

Calculated values
Total magnetization (μB/f.u.): 0.00
Energy (eV/atom): -3.86

The structure in CIF format:
```
data_Li2H6PdPt
_chemical_formula_sum 'Li2 H6 Pd1 Pt1'
_cell_length_a 4.944
_cell_length_b 4.944
_cell_length_c 4.944
_cell_angle_alpha 59.50
_cell_angle_beta 59.50
_cell_angle_gamma 59.50
_symmetry_space_group_name_H-M 'P 1'
_symmetry_Int_Tables_number 1
loop_
_symmetry_equiv_pos_as_xyz
'x,y,z'
loop_
_atom_site_label
_atom_site_fract_x
_atom_site_fract_y
_atom_site_fract_z
_atom_site_occupancy
H1 0.287 0.753 0.202 1
H2 0.800 0.710 0.243 1
H3 0.753 0.202 0.287 1
H4 0.243 0.800 0.710 1
H5 0.202 0.287 0.753 1
H6 0.710 0.243 0.800 1
Li1 0.255 0.255 0.255 1
Li2 0.753 0.753 0.753 1
Pd1 0.500 0.500 0.500 1
Pt1 0.999 0.999 0.999 1
```

Li2H6PdPt | PBE-GGA | optimized geometry

Calculated values
Total magnetization (μB/f.u.): 0.00
Energy (eV/atom): -3.86

The structure in CIF format:
```
data_Li2H6PdPt
_chemical_formula_sum 'Li4 H12 Pd2 Pt2'
_cell_length_a 4.919
_cell_length_b 4.948
_cell_length_c 8.536
_cell_angle_alpha 90.00
_cell_angle_beta 125.17
_cell_angle_gamma 90.00
_symmetry_space_group_name_H-M 'P 1'
_symmetry_Int_Tables_number 1
loop_
_symmetry_equiv_pos_as_xyz
'x,y,z'
loop_
_atom_site_label
_atom_site_fract_x
_atom_site_fract_y
_atom_site_fract_z
_atom_site_occupancy
H1 0.250 0.226 0.015 1
H2 0.294 0.735 0.019 1
H3 0.780 0.006 0.245 1
H4 0.220 0.506 0.255 1
H5 0.706 0.235 0.481 1
H6 0.750 0.726 0.485 1
H7 0.250 0.274 0.515 1
H8 0.294 0.765 0.519 1
H9 0.780 0.494 0.745 1
H10 0.220 0.994 0.755 1
H11 0.706 0.265 0.981 1
H12 0.750 0.774 0.985 1
Li1 0.249 0.989 0.249 1
Li2 0.751 0.489 0.251 1
Li3 0.249 0.511 0.749 1
Li4 0.751 0.011 0.751 1
Pd1 0.000 0.500 0.000 1
Pd2 0.000 0.000 0.500 1
Pt1 0.500 0.000 0.000 1
Pt2 0.500 0.500 0.500 1
```

RbLiH2Pd | PBE-GGA | optimized geometry

Calculated values
Energy (eV/atom): -3.18

The structure in CIF format:
```
data_RbLiH2Pd
_chemical_formula_sum 'Rb1 Li1 H2 Pd1'
_cell_length_a 7.323
_cell_length_b 7.323
_cell_length_c 7.323
_cell_angle_alpha 151.75
_cell_angle_beta 151.75
_cell_angle_gamma 40.37
_symmetry_space_group_name_H-M 'P 1'
_symmetry_Int_Tables_number 1
loop_
_symmetry_equiv_pos_as_xyz
'x,y,z'
loop_
_atom_site_label
_atom_site_fract_x
_atom_site_fract_y
_atom_site_fract_z
_atom_site_occupancy
H1 0.147 0.147 0.000 1
H2 0.902 0.902 0.000 1
Li1 0.585 0.585 0.000 1
Pd1 0.026 0.026 0.000 1
Rb1 0.340 0.340 0.000 1
```

Sr2LiH6Pd | PBE-GGA | optimized geometry

Calculated values
Energy (eV/atom): -3.45

The structure in CIF format:
```
data_Sr2LiH6Pd
_chemical_formula_sum 'Sr4 Li2 H12 Pd2'
_cell_length_a 6.611
_cell_length_b 6.611
_cell_length_c 6.329
_cell_angle_alpha 103.02
_cell_angle_beta 103.02
_cell_angle_gamma 76.21
_symmetry_space_group_name_H-M 'P 1'
_symmetry_Int_Tables_number 1
loop_
_symmetry_equiv_pos_as_xyz
'x,y,z'
loop_
_atom_site_label
_atom_site_fract_x
_atom_site_fract_y
_atom_site_fract_z
_atom_site_occupancy
H1 0.728 0.216 0.002 1
H2 0.993 0.676 0.138 1
H3 0.397 0.247 0.139 1
H4 0.753 0.603 0.361 1
H5 0.324 0.007 0.362 1
H6 0.784 0.272 0.498 1
H7 0.216 0.728 0.502 1
H8 0.676 0.993 0.638 1
H9 0.247 0.397 0.639 1
H10 0.603 0.753 0.861 1
H11 0.007 0.324 0.862 1
H12 0.272 0.784 0.998 1
Li1 0.541 0.459 0.250 1
Li2 0.459 0.541 0.750 1
Pd1 0.200 0.800 0.250 1
Pd2 0.800 0.200 0.750 1
Sr1 0.667 0.940 0.244 1
Sr2 0.060 0.333 0.256 1
Sr3 0.940 0.667 0.744 1
Sr4 0.333 0.060 0.756 1
```

Sr2LiH6Pd | PBE-GGA | optimized geometry

Calculated values
Energy (eV/atom): -3.51

The structure in CIF format:
```
data_Sr2LiH6Pd
_chemical_formula_sum 'Sr4 Li2 H12 Pd2'
_cell_length_a 5.403
_cell_length_b 5.403
_cell_length_c 7.641
_cell_angle_alpha 90.00
_cell_angle_beta 90.00
_cell_angle_gamma 90.00
_symmetry_space_group_name_H-M 'P 1'
_symmetry_Int_Tables_number 1
loop_
_symmetry_equiv_pos_as_xyz
'x,y,z'
loop_
_atom_site_label
_atom_site_fract_x
_atom_site_fract_y
_atom_site_fract_z
_atom_site_occupancy
H1 0.804 0.807 0.000 1
H2 0.293 0.803 0.000 1
H3 0.050 0.051 0.245 1
H4 0.550 0.549 0.255 1
H5 0.308 0.798 0.500 1
H6 0.798 0.792 0.500 1
H7 0.302 0.308 0.500 1
H8 0.792 0.302 0.501 1
H9 0.550 0.551 0.745 1
H10 0.050 0.049 0.755 1
H11 0.807 0.297 0.000 1
H12 0.297 0.293 0.000 1
Li1 0.550 0.550 0.000 1
Li2 0.050 0.050 0.500 1
Pd1 0.050 0.050 0.000 1
Pd2 0.550 0.550 0.500 1
Sr1 0.050 0.550 0.250 1
Sr2 0.550 0.050 0.250 1
Sr3 0.050 0.550 0.750 1
Sr4 0.550 0.050 0.750 1
```